1.
A relaxed structure of LaMgPb4. Source: Alexandria via LeMat-Bulk, functional GGA-PBE.

Summary:
Total moment (μB per formula unit): 0.00
Crystal system: cubic
Energy relative to the elements (eV per atom): -0.077
DOS(E_F) (states/eV per atom): 0.660

Unit cell a=9.161 b=9.161 c=9.161 alpha=90.00 beta=90.00 gamma=90.00
Space group F-43m (No. 216)
Asymmetric unit:
La: 0.000 0.000 0.000
Mg: 0.250 0.250 0.750
Pb: 0.126 0.126 0.374

***

2.
A relaxed structure of CaBrO2. Source: Alexandria via LeMat-Bulk, functional GGA-PBE.

Summary:
Total moment (μB per formula unit): 0.00
Crystal system: trigonal
Formation energy (no corrections) (eV/atom): -0.714
DOS(E_F) (states/eV per atom): 0.696
E above lowest polymorph (eV per formula unit): 2.972

Unit cell a=4.2095 b=4.2095 c=11.0502 alpha=90.00 beta=90.00 gamma=120.00
Space group R-3m (No. 166, hexagonal axes)
Asymmetric unit:
Ca: 0.0000 0.0000 0.0000
Br: 0.0000 0.0000 0.5000
O: 0.0000 0.0000 0.2121